ZrMoPt2 PBE relaxed; crystal system = monoclinic; calculated density = 14.11 g cm⁻³; energy above the lowest structure with this stoichiometry = 292.5 meV/atom; DFT formation energy = -0.320 eV/atom; raw total energy = -8.185 eV/atom; SG = C2/m
1.0
4.9869 -0.0005 -0.0070
4.1477 2.7687 -0.0070
0.8342 0.2528 4.9179
Mo Zr Pt
1 1 2
direct
0.2500 0.2500 0.2500
0.7500 0.7500 0.7500
0.5052 0.5052 0.4879
0.9948 0.9948 0.0121

=====

ZrMoPt2 PBE relaxed; crystal system = tetragonal; calculated density = 14.35 g cm⁻³; energy above the lowest structure with this stoichiometry = 0.0 meV/atom; DFT formation energy = -0.612 eV/atom; raw total energy = -8.477 eV/atom; SG = P4/mmm
1.0
4.1334 0.0000 0.0000
0.0000 4.0207 0.0000
0.0000 0.0000 4.0207
Pt Mo Zr
2 1 1
direct
0.0000 0.5000 0.5000
0.0000 0.0000 0.0000
0.5000 0.0000 0.5000
0.5000 0.5000 0.0000

=====

ZrMoPt2 PBE relaxed; crystal system = monoclinic; calculated density = 14.33 g cm⁻³; energy above the lowest structure with this stoichiometry = 27.8 meV/atom; DFT formation energy = -0.584 eV/atom; raw total energy = -8.449 eV/atom; SG = P2/m
1.0
4.1276 0.0000 0.0000
0.0000 2.8409 0.0145
0.0000 2.8203 5.7194
Mo Zr Pt
1 1 2
direct
0.5000 0.7500 0.7500
0.5000 0.2500 0.2500
0.0000 0.4887 0.5116
0.0000 0.0113 0.9884

=====

ZrMoPt2 PBE relaxed; crystal system = orthorhombic; calculated density = 14.36 g cm⁻³; energy above the lowest structure with this stoichiometry = 26.9 meV/atom; DFT formation energy = -0.585 eV/atom; raw total energy = -8.450 eV/atom; SG = Cmmm
1.0
4.9946 0.0034 0.0000
-1.7677 4.6713 0.0000
0.0000 0.0000 2.8614
Zr Pt Mo
1 2 1
direct
0.5000 0.0000 0.5000
0.5000 0.5000 0.0000
0.0000 0.0000 0.0000
0.0000 0.5000 0.5000

=====

Among the records above, which one has the highest calculated density?
number 4

=====

Look up the calculated density of the second one.
14.35 g cm⁻³

=====

Number 1 is which compound?
ZrMoPt2